Entry one
VASP calculation (PBE) on crystalline K2RbInHg at its relaxed geometry.

Cell: 6.701 6.701 5.737 Å, 90.00 90.00 90.00°
Atoms (fractional coordinates):
K1 0.000 0.500 0.000
K2 0.500 0.000 0.000
Rb1 0.000 0.000 0.500
In1 0.500 0.500 0.500
Hg1 0.500 0.500 0.000

Results
For the volume, the calculation gives 51.5 A^3/atom. For the density of states at the Fermi level, the calculation gives 3.33 states/eV/cell.

Entry two
VASP calculation (PBE) on crystalline K2RbInHg at its relaxed geometry.

Cell: 6.928 6.928 5.716 Å, 90.00 90.00 90.00°
Atoms (fractional coordinates):
K1 0.000 0.500 0.000
K2 0.500 0.000 0.000
Rb1 0.000 0.000 0.500
In1 0.500 0.500 0.000
Hg1 0.500 0.500 0.500

Results
For the volume, the calculation gives 54.9 A^3/atom. For the density of states at the Fermi level, the calculation gives 2.67 states/eV/cell.

Which is most stable, and by how much? entry one, by 44 meV/atom.

Entry one
VASP calculation (PBE) on crystalline KInHg2Sb at its relaxed geometry.

Cell: 5.758 5.758 5.782 Å, 90.00 90.00 90.00°
Atoms (fractional coordinates):
K1 0.000 0.000 0.000
In1 0.500 0.500 0.500
Hg1 0.000 0.500 0.500
Hg2 0.500 0.000 0.500
Sb1 0.500 0.500 0.000

Results
For the volume, the calculation gives 38.3 A^3/atom. For the density of states at the Fermi level, the calculation gives 2.66 states/eV/cell.

Entry two
VASP calculation (PBE) on crystalline KInHg2Sb at its relaxed geometry.

Cell: 4.789 5.153 12.761 Å, 90.00 90.00 90.00°
Atoms (fractional coordinates):
K1 0.000 0.000 0.000
K2 0.500 0.500 0.500
In1 0.000 0.500 0.741
In2 0.500 0.000 0.241
Hg1 0.000 0.000 0.615
Hg2 0.000 0.500 0.253
Hg3 0.500 0.000 0.753
Hg4 0.500 0.500 0.115
Sb1 0.000 0.000 0.389
Sb2 0.500 0.500 0.889

Results
For the volume, the calculation gives 31.5 A^3/atom. For the density of states at the Fermi level, the calculation gives 1.89 states/eV/cell.

Which is most stable, and by how much? entry two, by 198 meV/atom.

Entry one
VASP calculation (PBE) on crystalline KZnInHg2 at its relaxed geometry.

Cell: 5.710 5.710 5.376 Å, 90.00 90.00 90.00°
Atoms (fractional coordinates):
K1 0.000 0.000 0.000
Zn1 0.500 0.500 0.000
In1 0.500 0.500 0.500
Hg1 0.000 0.500 0.500
Hg2 0.500 0.000 0.500

Results
For the volume, the calculation gives 35.0 A^3/atom. For the density of states at the Fermi level, the calculation gives 2.54 states/eV/cell.

Entry two
VASP calculation (PBE) on crystalline KZnInHg2 at its relaxed geometry.

Cell: 5.416 5.416 5.295 Å, 90.00 90.00 90.00°
Atoms (fractional coordinates):
K1 0.000 0.000 0.000
Zn1 0.500 0.500 0.500
In1 0.500 0.500 0.000
Hg1 0.000 0.500 0.500
Hg2 0.500 0.000 0.500

Results
For the volume, the calculation gives 31.1 A^3/atom. For the density of states at the Fermi level, the calculation gives 1.32 states/eV/cell.

Which is most stable, and by how much? entry two, by 68 meV/atom.

Entry one
VASP calculation (PBE) on crystalline LaIn3Hg3 at its relaxed geometry.

Cell: 9.121 9.121 9.121 Å, 90.00 90.00 90.00°
Atoms (fractional coordinates):
La1 0.030 0.470 0.530
La2 0.470 0.530 0.030
La3 0.530 0.030 0.470
La4 0.970 0.970 0.970
In1 0.120 0.620 0.880
In2 0.141 0.859 0.359
In3 0.186 0.186 0.186
In4 0.314 0.814 0.686
In5 0.359 0.141 0.859
In6 0.380 0.380 0.380
In7 0.620 0.880 0.120
In8 0.641 0.641 0.641
In9 0.686 0.314 0.814
In10 0.814 0.686 0.314
In11 0.859 0.359 0.141
In12 0.880 0.120 0.620
Hg1 0.057 0.301 0.866
Hg2 0.134 0.557 0.199
Hg3 0.199 0.134 0.557
Hg4 0.301 0.866 0.057
Hg5 0.366 0.443 0.699
Hg6 0.443 0.699 0.366
Hg7 0.557 0.199 0.134
Hg8 0.634 0.943 0.801
Hg9 0.699 0.366 0.443
Hg10 0.801 0.634 0.943
Hg11 0.866 0.057 0.301
Hg12 0.943 0.801 0.634

Results
For the volume, the calculation gives 27.1 A^3/atom. For the density of states at the Fermi level, the calculation gives 15.09 states/eV/cell.

Entry two
VASP calculation (PBE) on crystalline LaIn3Hg3 at its relaxed geometry.

Cell: 7.819 7.819 7.819 Å, 90.00 90.00 90.00°
Atoms (fractional coordinates):
La1 0.000 0.000 0.000
La2 0.500 0.500 0.500
In1 0.000 0.250 0.500
In2 0.000 0.750 0.500
In3 0.250 0.500 0.000
In4 0.500 0.000 0.250
In5 0.500 0.000 0.750
In6 0.750 0.500 0.000
Hg1 0.000 0.500 0.250
Hg2 0.000 0.500 0.750
Hg3 0.250 0.000 0.500
Hg4 0.500 0.250 0.000
Hg5 0.500 0.750 0.000
Hg6 0.750 0.000 0.500

Results
For the volume, the calculation gives 34.1 A^3/atom. For the density of states at the Fermi level, the calculation gives 12.01 states/eV/cell.

Which is most stable, and by how much? entry one, by 403 meV/atom.

Entry one
VASP calculation (PBE) on crystalline La2In3Hg2 at its relaxed geometry.

Cell: 11.555 4.722 7.253 Å, 90.00 98.81 90.00°
Atoms (fractional coordinates):
La1 0.111 0.000 0.320
La2 0.389 0.500 0.680
La3 0.611 0.500 0.320
La4 0.889 0.000 0.680
In1 0.000 0.500 0.000
In2 0.203 0.000 0.868
In3 0.297 0.500 0.132
In4 0.500 0.000 0.000
In5 0.703 0.500 0.868
In6 0.797 0.000 0.132
Hg1 0.108 0.500 0.642
Hg2 0.392 0.000 0.358
Hg3 0.608 0.000 0.642
Hg4 0.892 0.500 0.358

Results
For the volume, the calculation gives 27.9 A^3/atom. For the density of states at the Fermi level, the calculation gives 9.96 states/eV/cell.

Entry two
VASP calculation (PBE) on crystalline La2In3Hg2 at its relaxed geometry.

Cell: 11.475 4.831 7.418 Å, 90.00 109.77 90.00°
Atoms (fractional coordinates):
La1 0.147 0.000 0.274
La2 0.353 0.500 0.726
La3 0.647 0.500 0.274
La4 0.853 0.000 0.726
In1 0.000 0.500 0.500
In2 0.101 0.500 0.926
In3 0.399 0.000 0.074
In4 0.500 0.000 0.500
In5 0.601 0.000 0.926
In6 0.899 0.500 0.074
Hg1 0.161 0.000 0.732
Hg2 0.339 0.500 0.268
Hg3 0.661 0.500 0.732
Hg4 0.839 0.000 0.268

Results
For the volume, the calculation gives 27.6 A^3/atom. For the density of states at the Fermi level, the calculation gives 7.27 states/eV/cell.

Which is most stable, and by how much? entry two, by 17 meV/atom.

Entry one
VASP calculation (PBE) on crystalline LaIn2Hg2 at its relaxed geometry.

Cell: 8.401 8.401 3.904 Å, 90.00 90.00 90.00°
Atoms (fractional coordinates):
La1 0.000 0.000 0.000
La2 0.500 0.500 0.000
In1 0.176 0.324 0.500
In2 0.324 0.824 0.500
In3 0.676 0.176 0.500
In4 0.824 0.676 0.500
Hg1 0.126 0.626 0.000
Hg2 0.374 0.126 0.000
Hg3 0.626 0.874 0.000
Hg4 0.874 0.374 0.000

Results
For the volume, the calculation gives 27.6 A^3/atom. For the density of states at the Fermi level, the calculation gives 6.58 states/eV/cell.

Entry two
VASP calculation (PBE) on crystalline LaIn2Hg2 at its relaxed geometry.

Cell: 4.640 4.640 12.501 Å, 90.00 90.00 90.00°
Atoms (fractional coordinates):
La1 0.000 0.000 0.000
La2 0.500 0.500 0.500
In1 0.000 0.500 0.250
In2 0.000 0.500 0.750
In3 0.500 0.000 0.250
In4 0.500 0.000 0.750
Hg1 0.000 0.000 0.391
Hg2 0.000 0.000 0.609
Hg3 0.500 0.500 0.109
Hg4 0.500 0.500 0.891

Results
For the volume, the calculation gives 26.9 A^3/atom. For the density of states at the Fermi level, the calculation gives 2.72 states/eV/cell.

Which is most stable, and by how much? entry two, by 82 meV/atom.